Entry 1:
The following is a PBE calculation of an optimized crystal structure of RuRhC2, from the Alexandria database.

The structure belongs to space group I-42d (No. 122); the cell edges are 4.586, 4.586 and 9.184 Å and the angles 90.00°, 90.00° and 90.00°. The inequivalent atoms are Ru at (0.000, 0.000, 0.000), Rh at (0.000, 0.000, 0.500) and C at (0.241, 0.250, 0.125).

For the formation energy, the calculation gives 0.509 eV/atom. The polymorph energy (0 for the lowest one) is 0 meV per atom.


Entry 2:
The following is a PBE calculation of an optimized crystal structure of RuRh2C, from the Alexandria database.

The structure belongs to space group I-42d (No. 122); the cell edges are 6.495, 6.495 and 4.876 Å and the angles 90.00°, 90.00° and 90.00°. The inequivalent atoms are Ru at (0.000, 0.000, 0.000), Rh at (0.153, 0.250, 0.625) and C at (0.000, 0.000, 0.500).

For the formation energy, the calculation gives 0.524 eV/atom.


Entry 3:
The following is a PBE calculation of an optimized crystal structure of Ru3RhC, from the Alexandria database.

The structure belongs to space group Pm-3m (No. 221); the cell edges are 4.654, 4.654 and 4.654 Å and the angles 90.00°, 90.00° and 90.00°. The inequivalent atoms are Ru at (0.000, 0.000, 0.500), Rh at (0.000, 0.000, 0.000) and C at (0.500, 0.500, 0.500).

For the formation energy, the calculation gives 3.156 eV/atom. The polymorph energy (0 for the lowest one) is 2826 meV per atom.


Entry 4:
The following is a PBE calculation of an optimized crystal structure of Ru3RhC, from the Alexandria database.

The structure belongs to space group Pm-3m (No. 221); the cell edges are 4.018, 4.018 and 4.018 Å and the angles 90.00°, 90.00° and 90.00°. The inequivalent atoms are Ru at (0.000, 0.000, 0.500), Rh at (0.500, 0.500, 0.500) and C at (0.000, 0.000, 0.000).

For the formation energy, the calculation gives 0.330 eV/atom. The polymorph energy (0 for the lowest one) is 0 meV per atom.


Entry 5:
The following is a PBE calculation of an optimized crystal structure of RuRhC2, from the Alexandria database.

The structure belongs to space group Fm-3m (No. 225); the cell edges are 5.379, 5.379 and 5.379 Å and the angles 90.00°, 90.00° and 90.00°. The inequivalent atoms are Ru at (0.000, 0.000, 0.000), Rh at (0.000, 0.000, 0.500) and C at (0.250, 0.250, 0.250).

For the formation energy, the calculation gives 1.308 eV/atom. The polymorph energy (0 for the lowest one) is 799 meV per atom.


Entry 6:
The following is a PBE calculation of an optimized crystal structure of Ru2RhC, from the Alexandria database.

The structure belongs to space group I-42d (No. 122); the cell edges are 6.438, 6.438 and 4.891 Å and the angles 90.00°, 90.00° and 90.00°. The inequivalent atoms are Ru at (0.159, 0.750, 0.125), Rh at (0.000, 0.000, 0.500) and C at (0.000, 0.000, 0.000).

For the formation energy, the calculation gives 0.425 eV/atom.


Entry 7:
The following is a PBE calculation of an optimized crystal structure of ScRu2RhC, from the Alexandria database.

The structure belongs to space group P4/mmm (No. 123); the cell edges are 4.098, 4.098 and 4.069 Å and the angles 90.00°, 90.00° and 90.00°. The inequivalent atoms are Sc at (0.000, 0.000, 0.000), Ru at (0.000, 0.500, 0.500), Rh at (0.500, 0.500, 0.000) and C at (0.500, 0.500, 0.500).

For the formation energy, the calculation gives -0.359 eV/atom.


Entry 8:
The following is a PBE calculation of an optimized crystal structure of Ru2RhCSe, from the Alexandria database.

The structure belongs to space group P4/mmm (No. 123); the cell edges are 4.948, 4.948 and 3.690 Å and the angles 90.00°, 90.00° and 90.00°. The inequivalent atoms are Ru at (0.000, 0.500, 0.000), Rh at (0.000, 0.000, 0.000), C at (0.000, 0.000, 0.500) and Se at (0.500, 0.500, 0.500).

The uncorrected formation energy is 1.655 eV per atom.


Entry 9:
The following is a PBE calculation of an optimized crystal structure of Y2RuRhC, from the Alexandria database.

The structure belongs to space group P4/mmm (No. 123); the cell edges are 4.917, 4.917 and 3.846 Å and the angles 90.00°, 90.00° and 90.00°. The inequivalent atoms are Y at (0.000, 0.500, 0.000), Ru at (0.000, 0.000, 0.500), Rh at (0.500, 0.500, 0.500) and C at (0.000, 0.000, 0.000).

For the formation energy, the calculation gives -0.420 eV/atom.


Entry 10:
The following is a PBE calculation of an optimized crystal structure of YRu2RhC, from the Alexandria database.

The structure belongs to space group P4/mmm (No. 123); the cell edges are 4.175, 4.175 and 4.164 Å and the angles 90.00°, 90.00° and 90.00°. The inequivalent atoms are Y at (0.000, 0.000, 0.000), Ru at (0.000, 0.500, 0.500), Rh at (0.500, 0.500, 0.000) and C at (0.500, 0.500, 0.500).

For the formation energy, the calculation gives -0.287 eV/atom.


Entry 11:
The following is a PBE calculation of an optimized crystal structure of ZnRuRh2C, from the Alexandria database.

The structure belongs to space group P4/mmm (No. 123); the cell edges are 4.632, 4.632 and 4.758 Å and the angles 90.00°, 90.00° and 90.00°. The inequivalent atoms are Zn at (0.000, 0.000, 0.000), Ru at (0.000, 0.000, 0.500), Rh at (0.000, 0.500, 0.500) and C at (0.500, 0.500, 0.000).

For the formation energy, the calculation gives 2.336 eV/atom. The polymorph energy (0 for the lowest one) is 2304 meV per atom.


Entry 12:
The following is a PBE calculation of an optimized crystal structure of ZnRuRh2C, from the Alexandria database.

The structure belongs to space group P4/mmm (No. 123); the cell edges are 4.036, 4.036 and 4.047 Å and the angles 90.00°, 90.00° and 90.00°. The inequivalent atoms are Zn at (0.000, 0.000, 0.000), Ru at (0.500, 0.500, 0.000), Rh at (0.000, 0.500, 0.500) and C at (0.500, 0.500, 0.500).

For the formation energy, the calculation gives 0.032 eV/atom. The polymorph energy (0 for the lowest one) is 0 meV per atom.


Entry 13:
The following is a PBE calculation of an optimized crystal structure of ZrRu2RhC, from the Alexandria database.

The structure belongs to space group P4/mmm (No. 123); the cell edges are 4.906, 4.906 and 3.708 Å and the angles 90.00°, 90.00° and 90.00°. The inequivalent atoms are Zr at (0.000, 0.000, 0.000), Ru at (0.000, 0.500, 0.500), Rh at (0.500, 0.500, 0.500) and C at (0.500, 0.500, 0.000).

For the formation energy, the calculation gives 1.292 eV/atom. The polymorph energy (0 for the lowest one) is 1618 meV per atom.


Entry 14:
The following is a PBE calculation of an optimized crystal structure of ZrRu2RhC, from the Alexandria database.

The structure belongs to space group P4/mmm (No. 123); the cell edges are 4.117, 4.117 and 4.106 Å and the angles 90.00°, 90.00° and 90.00°. The inequivalent atoms are Zr at (0.000, 0.000, 0.000), Ru at (0.000, 0.500, 0.500), Rh at (0.500, 0.500, 0.000) and C at (0.500, 0.500, 0.500).

For the formation energy, the calculation gives -0.326 eV/atom. The polymorph energy (0 for the lowest one) is 0 meV per atom.


Entry 15:
The following is a PBE calculation of an optimized crystal structure of ZrRuRh2C, from the Alexandria database.

The structure belongs to space group P4/mmm (No. 123); the cell edges are 4.146, 4.146 and 4.083 Å and the angles 90.00°, 90.00° and 90.00°. The inequivalent atoms are Zr at (0.000, 0.000, 0.000), Ru at (0.500, 0.500, 0.000), Rh at (0.000, 0.500, 0.500) and C at (0.500, 0.500, 0.500).

For the formation energy, the calculation gives -0.354 eV/atom.


Entry 16:
The following is a PBE calculation of an optimized crystal structure of RhCS3, from the Alexandria database.

The structure belongs to space group Pm-3m (No. 221); the cell edges are 4.590, 4.590 and 4.590 Å and the angles 90.00°, 90.00° and 90.00°. The inequivalent atoms are Rh at (0.000, 0.000, 0.000), C at (0.500, 0.500, 0.500) and S at (0.000, 0.000, 0.500).

The uncorrected formation energy is 1.862 eV per atom. The polymorph energy (0 for the lowest one) is 597 meV per atom.


Entry 17:
The following is a PBE calculation of an optimized crystal structure of Rh2CS2, from the Alexandria database.

The structure belongs to space group I4/mmm (No. 139); the cell edges are 3.918, 3.918 and 10.635 Å and the angles 90.00°, 90.00° and 90.00°. The inequivalent atoms are Rh at (0.000, 0.500, 0.250), C at (0.000, 0.000, 0.000) and S at (0.000, 0.000, 0.371).

The uncorrected formation energy is 1.156 eV per atom. The polymorph energy (0 for the lowest one) is 0 meV per atom.


Entry 18:
The following is a PBE calculation of an optimized crystal structure of RhCS2, from the Alexandria database.

The structure belongs to space group R-3m (No. 166, hexagonal axes); the cell edges are 2.9951, 2.9951 and 20.4234 Å and the angles 90.00°, 90.00° and 120.00°. The inequivalent atoms are Rh at (0.0000, 0.0000, 0.0000), C at (0.0000, 0.0000, 0.5000) and S at (0.0000, 0.0000, 0.1078).

The uncorrected formation energy is 1.051 eV per atom.


Entry 19:
The following is a PBE calculation of an optimized crystal structure of RhCS2, from the Alexandria database.

The structure belongs to space group R-3m (No. 166, hexagonal axes); the cell edges are 3.6570, 3.6570 and 16.8307 Å and the angles 90.00°, 90.00° and 120.00°. The inequivalent atoms are Rh at (0.0000, 0.0000, 0.0000), C at (0.0000, 0.0000, 0.5000) and S at (0.0000, 0.0000, 0.4056).

The uncorrected formation energy is 0.391 eV per atom.


Entry 20:
The following is a PBE calculation of an optimized crystal structure of RhC2S, from the Alexandria database.

The structure belongs to space group I-42d (No. 122); the cell edges are 4.567, 4.567 and 8.284 Å and the angles 90.00°, 90.00° and 90.00°. The inequivalent atoms are Rh at (0.000, 0.000, 0.000), C at (0.203, 0.250, 0.625) and S at (0.000, 0.000, 0.500).

The uncorrected formation energy is 1.122 eV per atom.


| no. | Fermi-level density of states (states/eV/f.u.) |
| --- | --- |
| 1 | 3.14 |
| 2 | 2.09 |
| 3 | 9.05 |
| 4 | 6.30 |
| 5 | 1.81 |
| 6 | 4.91 |
| 7 | 1.63 |
| 8 | 6.36 |
| 9 | 3.69 |
| 10 | 2.49 |
| 11 | 4.73 |
| 12 | 3.96 |
| 13 | 5.27 |
| 14 | 3.21 |
| 15 | 0.63 |
| 16 | 6.60 |
| 17 | 4.48 |
| 18 | 3.01 |
| 19 | 1.75 |
| 20 | 2.24 |